{
  "formula": "Tl12Au3O5",
  "functional": "PBE",
  "state": "optimized geometry",
  "space_group": "Ia-3d (230)",
  "raw_formation_energy_ev_per_atom": -0.3043,
  "lattice_angstrom": [[-8.075, 8.075, 8.075], [8.075, -8.075, 8.075], [8.075, 8.075, -8.075]],
  "species": ["Tl", "Tl", "Tl", "Tl", "Tl", "Tl", "Tl", "Tl", "Tl", "Tl", "Tl", "Tl", "Tl", "Tl", "Tl", "Tl", "Tl", "Tl", "Tl", "Tl", "Tl", "Tl", "Tl", "Tl", "Tl", "Tl", "Tl", "Tl", "Tl", "Tl", "Tl", "Tl", "Tl", "Tl", "Tl", "Tl", "Tl", "Tl", "Tl", "Tl", "Tl", "Tl", "Tl", "Tl", "Tl", "Tl", "Tl", "Tl", "Au", "Au", "Au", "Au", "Au", "Au", "Au", "Au", "Au", "Au", "Au", "Au", "O", "O", "O", "O", "O", "O", "O", "O", "O", "O", "O", "O", "O", "O", "O", "O", "O", "O", "O", "O"],
  "frac_coords": [[0.032, 0.210, 0.125], [0.032, 0.321, 0.906], [0.085, 0.710, 0.679], [0.085, 0.875, 0.406], [0.094, 0.625, 0.415], [0.094, 0.968, 0.679], [0.125, 0.032, 0.210], [0.125, 0.594, 0.915], [0.179, 0.210, 0.585], [0.179, 0.468, 0.594], [0.210, 0.125, 0.032], [0.210, 0.585, 0.179], [0.290, 0.321, 0.915], [0.290, 0.468, 0.375], [0.321, 0.906, 0.032], [0.321, 0.915, 0.290], [0.375, 0.290, 0.468], [0.375, 0.585, 0.906], [0.406, 0.085, 0.875], [0.406, 0.821, 0.532], [0.415, 0.094, 0.625], [0.415, 0.821, 0.790], [0.468, 0.375, 0.290], [0.468, 0.594, 0.179], [0.532, 0.406, 0.821], [0.532, 0.625, 0.710], [0.585, 0.179, 0.210], [0.585, 0.906, 0.375], [0.594, 0.179, 0.468], [0.594, 0.915, 0.125], [0.625, 0.415, 0.094], [0.625, 0.710, 0.532], [0.679, 0.085, 0.710], [0.679, 0.094, 0.968], [0.710, 0.532, 0.625], [0.710, 0.679, 0.085], [0.790, 0.415, 0.821], [0.790, 0.875, 0.968], [0.821, 0.532, 0.406], [0.821, 0.790, 0.415], [0.875, 0.406, 0.085], [0.875, 0.968, 0.790], [0.906, 0.032, 0.321], [0.906, 0.375, 0.585], [0.915, 0.125, 0.594], [0.915, 0.290, 0.321], [0.968, 0.679, 0.094], [0.968, 0.790, 0.875], [0.125, 0.250, 0.375], [0.125, 0.375, 0.750], [0.250, 0.375, 0.125], [0.250, 0.875, 0.625], [0.375, 0.125, 0.250], [0.375, 0.750, 0.125], [0.625, 0.250, 0.875], [0.625, 0.875, 0.750], [0.750, 0.125, 0.375], [0.750, 0.625, 0.875], [0.875, 0.625, 0.250], [0.875, 0.750, 0.625], [0.000, 0.000, 0.000], [0.000, 0.000, 0.500], [0.000, 0.500, 0.000], [0.000, 0.500, 0.500], [0.125, 0.750, 0.875], [0.125, 0.875, 0.250], [0.250, 0.125, 0.875], [0.250, 0.625, 0.375], [0.375, 0.250, 0.625], [0.375, 0.625, 0.750], [0.500, 0.000, 0.000], [0.500, 0.000, 0.500], [0.500, 0.500, 0.000], [0.500, 0.500, 0.500], [0.625, 0.375, 0.250], [0.625, 0.750, 0.375], [0.750, 0.375, 0.625], [0.750, 0.875, 0.125], [0.875, 0.125, 0.750], [0.875, 0.250, 0.125]]
}



{
  "formula": "Tl4Au2O",
  "functional": "PBE",
  "state": "optimized geometry",
  "space_group": "I4/mmm (139)",
  "raw_formation_energy_ev_per_atom": -0.0820,
  "lattice_angstrom": [[-2.516, 2.516, 7.443], [2.516, -2.516, 7.443], [2.516, 2.516, -7.443]],
  "species": ["Tl", "Tl", "Tl", "Tl", "Au", "Au", "O"],
  "frac_coords": [[0.000, 0.500, 0.500], [0.172, 0.172, 0.000], [0.500, 0.000, 0.500], [0.828, 0.828, 0.000], [0.378, 0.378, 0.000], [0.622, 0.622, 0.000], [0.000, 0.000, 0.000]]
}



{
  "formula": "Tl3AuO",
  "functional": "PBE",
  "state": "optimized geometry",
  "space_group": "P2_1/m (11)",
  "polymorph_energy_ev_per_atom": 0.009,
  "raw_formation_energy_ev_per_atom": -0.2612,
  "lattice_angstrom": [[7.462, 0.000, 0.000], [0.000, 3.959, 0.000], [-2.468, 0.000, 9.723]],
  "species": ["Tl", "Tl", "Tl", "Tl", "Tl", "Tl", "Au", "Au", "O", "O"],
  "frac_coords": [[0.045, 0.250, 0.180], [0.216, 0.250, 0.524], [0.432, 0.750, 0.822], [0.568, 0.250, 0.178], [0.784, 0.750, 0.476], [0.955, 0.750, 0.820], [0.270, 0.750, 0.062], [0.730, 0.250, 0.938], [0.125, 0.750, 0.650], [0.875, 0.250, 0.350]]
}



{
  "formula": "Tl2AuO6",
  "functional": "PBE",
  "state": "optimized geometry",
  "space_group": "P4_2/mnm (136)",
  "raw_formation_energy_ev_per_atom": -0.1249,
  "lattice_angstrom": [[4.975, 0.000, 0.000], [0.000, 4.975, 0.000], [0.000, 0.000, 10.334]],
  "species": ["Tl", "Tl", "Tl", "Tl", "Au", "Au", "O", "O", "O", "O", "O", "O", "O", "O", "O", "O", "O", "O"],
  "frac_coords": [[0.000, 0.000, 0.167], [0.000, 0.000, 0.833], [0.500, 0.500, 0.333], [0.500, 0.500, 0.667], [0.000, 0.000, 0.500], [0.500, 0.500, 0.000], [0.183, 0.183, 0.348], [0.183, 0.183, 0.652], [0.213, 0.213, 0.000], [0.287, 0.713, 0.500], [0.317, 0.683, 0.152], [0.317, 0.683, 0.848], [0.683, 0.317, 0.152], [0.683, 0.317, 0.848], [0.713, 0.287, 0.500], [0.787, 0.787, 0.000], [0.817, 0.817, 0.348], [0.817, 0.817, 0.652]]
}



{
  "formula": "Y4TlAuO",
  "functional": "PBE",
  "state": "optimized geometry",
  "space_group": "Cmcm (63)",
  "raw_formation_energy_ev_per_atom": -1.1839,
  "lattice_angstrom": [[3.327, -7.683, 0.000], [3.327, 7.683, 0.000], [0.000, 0.000, 6.665]],
  "species": ["Y", "Y", "Y", "Y", "Y", "Y", "Y", "Y", "Tl", "Tl", "Au", "Au", "O", "O"],
  "frac_coords": [[0.000, 0.500, 0.000], [0.000, 0.500, 0.500], [0.062, 0.938, 0.750], [0.419, 0.581, 0.750], [0.500, 0.000, 0.000], [0.500, 0.000, 0.500], [0.581, 0.419, 0.250], [0.938, 0.062, 0.250], [0.385, 0.615, 0.250], [0.615, 0.385, 0.750], [0.122, 0.878, 0.250], [0.878, 0.122, 0.750], [0.258, 0.742, 0.750], [0.742, 0.258, 0.250]]
}



{
  "formula": "TlZnAuO4",
  "functional": "PBE",
  "state": "optimized geometry",
  "space_group": "Imma (74)",
  "raw_formation_energy_ev_per_atom": -0.5387,
  "lattice_angstrom": [[-3.089, 3.182, 5.247], [3.089, -3.182, 5.247], [3.089, 3.182, -5.247]],
  "species": ["Tl", "Tl", "Zn", "Zn", "Au", "Au", "O", "O", "O", "O", "O", "O", "O", "O"],
  "frac_coords": [[0.000, 0.000, 0.000], [0.500, 0.000, 0.500], [0.387, 0.637, 0.750], [0.613, 0.363, 0.250], [0.000, 0.000, 0.500], [0.000, 0.500, 0.000], [0.211, 0.246, 0.965], [0.219, 0.754, 0.465], [0.286, 0.276, 0.491], [0.286, 0.795, 0.009], [0.714, 0.205, 0.991], [0.714, 0.724, 0.509], [0.781, 0.246, 0.535], [0.789, 0.754, 0.035]]
}